Material: CdIr2Ru
Method: DFT, GGA-PBEsol
State: optimized geometry

The space-group type is I-4m2, No. 119. The value obtained for the formation energy from the elements is 1.28 eV/f.u.

Cell and atoms, written as POSCAR:
```
CdIr2Ru
1.0
-3.365 -1.929 -0.302
-0.203 -0.252 3.877
-0.171 4.483 -1.670
Cd Ir Ru
1 2 1
Cartesian
-1.079 1.570 1.998
0.000 0.000 0.000
-2.660 0.731 -0.092
-1.784 -1.091 1.788
```



Material: ZnCo2ReRh
Method: DFT, GGA-PBEsol
State: optimized geometry

The space-group type is P4/mmm, No. 123. The value obtained for the formation energy from the elements is 8.62 eV/f.u.

Cell and atoms, written as POSCAR:
```
ZnCo2ReRh
1.0
4.118 0.000 0.000
0.000 4.118 0.000
0.000 0.000 4.490
Re Zn Rh Co
1 1 1 2
Cartesian
0.000 0.000 2.245
0.000 0.000 0.000
2.059 2.059 2.245
0.000 2.059 0.000
2.059 0.000 0.000
```



Material: Ca2MgCl
Method: DFT, GGA-PBEsol
State: optimized geometry

The calculation puts the energy above the lowest structure with this stoichiometry at 2.32 eV per formula unit. Its formation energy (no corrections) is -156 meV/atom. The space-group type is F-43m, No. 216.

Cell and atoms, written as POSCAR:
```
Ca2MgCl
1.0
5.672 0.000 0.000
2.836 4.912 0.000
2.836 1.637 4.631
Ca Cl Mg
2 1 1
Cartesian
0.000 0.000 0.000
8.507 4.912 3.473
5.672 3.275 2.315
2.836 1.637 1.158
```



| no. | total magnetic moment (μB/f.u.) |
| --- | --- |
| 1 | 0.000 |
| 2 | 4.145 |
| 3 | 0.001 |